1.
Material: TlHgGeAu2
Method: DFT, PBE
State: optimized geometry

Calculated values
total energy: -2.647 eV per atom
ρ: 10.8 g cm⁻³
M_tot: 0.000 μB/cell

a = 5.0196 Å, b = 5.0196 Å, c = 5.3307 Å
α = 90.00°, β = 90.00°, γ = 90.00°
Fractional coordinates of all 5 atoms:
Au (0.5000, 0.0000, 0.0000)
Au (0.0000, 0.5000, 0.0000)
Hg (0.0000, 0.0000, 0.5000)
Ge (0.0000, 0.0000, 0.0000)
Tl (0.5000, 0.5000, 0.5000)

=====

2.
Material: Dy5Ho2
Method: DFT, PBE
State: optimized geometry

Calculated values
total energy: -4.590 eV per atom
ρ: 8.6 g cm⁻³
M_tot: 0.001 μB/cell

a = 6.2446 Å, b = 9.1409 Å, c = 8.3940 Å
α = 95.64°, β = 111.84°, γ = 90.00°
Fractional coordinates of all 14 atoms:
Dy (0.6907, 0.5358, 0.7149)
Dy (0.9758, 0.9642, 0.2851)
Dy (0.4521, 0.1787, 0.5715)
Dy (0.8332, 0.2500, 0.0000)
Dy (0.3093, 0.4642, 0.2851)
Dy (0.1668, 0.7500, 0.0000)
Dy (0.1194, 0.6787, 0.5715)
Dy (0.5479, 0.8213, 0.4285)
Dy (0.8806, 0.3213, 0.4285)
Dy (0.0242, 0.0358, 0.7149)
Ho (0.5951, 0.8929, 0.8575)
Ho (0.4049, 0.1071, 0.1425)
Ho (0.7377, 0.6071, 0.1425)
Ho (0.2623, 0.3929, 0.8575)

=====

3.
Material: Rb2PtF8
Method: DFT, PBE
State: optimized geometry

Calculated values
ΔE_f (raw): -1.770 eV per atom
ρ: 3.7 g cm⁻³
M_tot: 0.072 μB/cell

a = 8.3983 Å, b = 7.1871 Å, c = 5.2044 Å
α = 108.94°, β = 90.00°, γ = 125.75°
Last column: magnetic moment on the atom in μB.
Fractional coordinates of all 11 atoms:
F (0.9038, 0.8076, 0.2244)  -0.11
F (0.5664, 0.1329, 0.6933)  0.48
F (0.7267, 0.7764, 0.7632)  -0.06
F (0.0497, 0.7764, 0.7632)  -0.06
F (0.2733, 0.2236, 0.2368)  -0.06
F (0.9503, 0.2236, 0.2368)  -0.06
F (0.4336, 0.8671, 0.3067)  0.48
F (0.0962, 0.1924, 0.7756)  -0.11
Pt (0.0000, 0.0000, 0.0000)  -0.48
Rb (0.3263, 0.6527, 0.7009)  0.00
Rb (0.6737, 0.3473, 0.2991)  0.00

=====

4.
Material: In2Cu2Au7
Method: DFT, PBE
State: optimized geometry

Calculated values
total energy: -3.347 eV per atom
ρ: 14.1 g cm⁻³
M_tot: 0.000 μB/cell

a = 5.2019 Å, b = 6.5653 Å, c = 6.5653 Å
α = 96.72°, β = 105.53°, γ = 105.53°
Fractional coordinates of all 11 atoms:
Au (0.5000, 0.0000, 0.0000)
Au (0.3137, 0.0742, 0.5812)
Au (0.3137, 0.5812, 0.0742)
Au (0.2994, 0.5960, 0.5960)
Au (0.7006, 0.4040, 0.4040)
Au (0.6863, 0.4188, 0.9258)
Au (0.6863, 0.9258, 0.4188)
In (0.0880, 0.2055, 0.2055)
In (0.9120, 0.7945, 0.7945)
Cu (0.0000, 0.2579, 0.7421)
Cu (0.0000, 0.7421, 0.2579)